1.
KGaGe3 | PBE | optimized geometry

Summary:
As for the energy above the most stable polymorph in this dataset: 6.643 eV/f.u. As for the space group: Pm-3m (221). The total energy is -10.7 eV per formula unit. Its theoretical density is 3.16 g/cm3.

Lattice parameters (Å, degrees): 5.561 5.561 5.561 90.00 90.00 90.00
Atoms (fractional coordinates):
Ge 0.000 0.500 0.000
Ge 0.000 0.000 0.500
Ge 0.500 0.000 0.000
K 0.000 0.000 0.000
Ga 0.500 0.500 0.500



2.
K2GaGe | PBE | optimized geometry

Summary:
As for the energy above the most stable polymorph in this dataset: 2.219 eV/f.u. As for the space group: I-42d (122). The total energy is -8.2 eV per formula unit. Its theoretical density is 2.91 g/cm3.

Lattice parameters (Å, degrees): 4.622 4.622 12.219 79.10 79.10 90.00
Atoms (fractional coordinates):
Ge 0.000 0.000 0.000
Ge 0.750 0.250 0.500
K 0.625 0.125 0.250
K 0.125 0.625 0.250
K 0.375 0.375 0.750
K 0.875 0.875 0.750
Ga 0.500 0.500 0.000
Ga 0.250 0.750 0.500



3.
KGaGe3 | PBE | optimized geometry

Summary:
As for the energy above the most stable polymorph in this dataset: 0.000 eV/f.u. As for the space group: R3m (160). The total energy is -17.4 eV per formula unit. Its theoretical density is 4.27 g/cm3.

Lattice parameters (Å, degrees): 5.032 5.032 5.032 87.66 87.66 87.66
Atoms (fractional coordinates):
K 0.352 0.352 0.352
Ga 0.736 0.736 0.736
Ge 0.240 0.864 0.864
Ge 0.864 0.864 0.240
Ge 0.864 0.240 0.864



4.
KGa3Ge | PBE | optimized geometry

Summary:
As for the energy above the most stable polymorph in this dataset: 0.000 eV/f.u. As for the space group: C2/m (12). The total energy is -14.8 eV per formula unit. Its theoretical density is 4.21 g/cm3.

Lattice parameters (Å, degrees): 7.282 5.534 9.356 89.99 129.54 112.34
Atoms (fractional coordinates):
K 0.000 0.750 0.802
K 0.000 0.250 0.198
Ga 0.000 0.750 0.430
Ga 0.540 0.771 0.269
Ga 0.460 0.731 0.731
Ga 0.460 0.229 0.731
Ga 0.540 0.269 0.269
Ga 0.000 0.250 0.570
Ge 0.500 0.500 0.000
Ge 0.500 0.000 0.500



5.
K2GaGe | PBE | optimized geometry

Summary:
As for the energy above the most stable polymorph in this dataset: 0.000 eV/f.u. As for the space group: R3m (160). The total energy is -10.4 eV per formula unit. Its theoretical density is 2.37 g/cm3.

Lattice parameters (Å, degrees): 4.328 4.328 9.845 77.30 77.30 60.00
Atoms (fractional coordinates):
K 0.484 0.484 0.549
K 0.297 0.297 0.110
Ga 0.723 0.723 0.830
Ge 0.057 0.057 0.828



6.
KGa4Ge2 | PBE | optimized geometry

Summary:
As for the energy above the most stable polymorph in this dataset: 0.000 eV/f.u. As for the space group: Cmmm (65). The total energy is -22.9 eV per formula unit. Its theoretical density is 4.78 g/cm3.

Lattice parameters (Å, degrees): 4.697 4.856 7.464 108.98 90.00 90.00
Atoms (fractional coordinates):
K 0.000 0.000 0.000
Ga 0.500 0.813 0.626
Ga 0.000 0.703 0.407
Ga 0.500 0.187 0.374
Ga 0.000 0.297 0.593
Ge 0.500 0.607 0.213
Ge 0.500 0.393 0.787



7.
K2GaGe3 | PBE | optimized geometry

Summary:
As for the energy above the most stable polymorph in this dataset: 0.000 eV/f.u. As for the space group: Pmm2 (25). The total energy is -19.9 eV per formula unit. Its theoretical density is 3.50 g/cm3.

Lattice parameters (Å, degrees): 4.377 5.462 7.253 90.00 90.00 90.00
Atoms (fractional coordinates):
K 0.500 0.000 0.004
K 0.000 0.000 0.497
Ga 0.500 0.500 0.671
Ge 0.000 0.500 0.169
Ge 0.000 0.500 0.829
Ge 0.500 0.500 0.331



8.
K2GaGe | PBE | optimized geometry

Summary:
As for the energy above the most stable polymorph in this dataset: 1.697 eV/f.u. As for the space group: Fm-3m (225). The total energy is -8.7 eV per formula unit. Its theoretical density is 2.84 g/cm3.

Lattice parameters (Å, degrees): 5.670 5.670 5.670 60.00 60.00 60.00
Atoms (fractional coordinates):
Ge 0.500 0.500 0.500
K 0.250 0.250 0.250
K 0.750 0.750 0.750
Ga 0.000 0.000 0.000



9.
KGa4Ge2 | PBE | optimized geometry

Summary:
As for the energy above the most stable polymorph in this dataset: 0.398 eV/f.u. As for the space group: R-3m (166). The total energy is -22.5 eV per formula unit. Its theoretical density is 4.64 g/cm3.

Lattice parameters (Å, degrees): 4.722 4.722 9.012 74.81 74.81 60.00
Atoms (fractional coordinates):
K 0.000 0.000 0.000
Ge 0.245 0.245 0.266
Ge 0.755 0.755 0.734
Ga 0.444 0.444 0.668
Ga 0.140 0.140 0.579
Ga 0.556 0.556 0.332
Ga 0.860 0.860 0.421



10.
KGa2Ge | PBE | optimized geometry

Summary:
As for the space group: P4/nmm (129). The total energy is -11.8 eV per formula unit. Its theoretical density is 4.09 g/cm3.

Lattice parameters (Å, degrees): 4.497 4.497 10.078 90.00 90.00 90.00
Atoms (fractional coordinates):
K 0.500 0.000 0.241
K 0.000 0.500 0.759
Ga 0.500 0.000 0.929
Ga 0.000 0.500 0.071
Ga 0.000 0.000 0.500
Ga 0.500 0.500 0.500
Ge 0.500 0.000 0.648
Ge 0.000 0.500 0.352



11.
K2Ga2Ge | PBE | optimized geometry

Summary:
As for the energy above the most stable polymorph in this dataset: 0.396 eV/f.u. As for the space group: P4/mbm (127). The total energy is -12.8 eV per formula unit. Its theoretical density is 3.42 g/cm3.

Lattice parameters (Å, degrees): 7.009 7.009 5.742 90.00 90.00 90.00
Atoms (fractional coordinates):
Ge 0.000 0.000 0.000
Ge 0.500 0.500 0.000
K 0.187 0.687 0.500
K 0.687 0.813 0.500
K 0.813 0.313 0.500
K 0.313 0.187 0.500
Ga 0.370 0.870 0.000
Ga 0.870 0.630 0.000
Ga 0.630 0.130 0.000
Ga 0.130 0.370 0.000



12.
K2LiGaGe | PBE | optimized geometry

Summary:
As for the space group: P4/mmm (123). The total energy is -9.5 eV per formula unit. Its theoretical density is 2.24 g/cm3.

Lattice parameters (Å, degrees): 5.842 4.931 5.842 90.00 90.00 90.00
Atoms (fractional coordinates):
Ge 0.500 0.500 0.500
K 0.000 0.000 0.500
K 0.500 0.000 0.000
Ga 0.000 0.500 0.000
Li 0.000 0.000 0.000



13.
KLi2GaGe | PBE | optimized geometry

Summary:
As for the space group: P4/mmm (123). The total energy is -13.1 eV per formula unit. Its theoretical density is 2.42 g/cm3.

Lattice parameters (Å, degrees): 5.067 5.067 5.217 90.00 90.00 90.00
Atoms (fractional coordinates):
Ge 0.000 0.000 0.000
K 0.500 0.500 0.500
Ga 0.000 0.000 0.500
Li 0.000 0.500 0.000
Li 0.500 0.000 0.000



Energy of formation from the pure elements for every record listed, in sequence, given in kJ/mol of atoms: 139.67, 39.64, 11.47, 0.35, -13.89, -5.74, -12.49, 27.04, -0.25, -1.52, 0.81, 43.82, -9.32.